Record 1
TbBeNbN3 after structural relaxation. Source: the Alexandria database, functional PBE.

Values from the calculation:
The uncorrected formation energy is -1181 meV/atom. The value obtained for the total energy is -8.414 eV/atom. Its crystal system is monoclinic.

Cell: 3.1390 6.7136 6.7689 Å, 103.74 90.00 90.00°
Fractional positions:
Tb 0.7500 0.8154 0.7841
Tb 0.2500 0.1846 0.2159
Be 0.2500 0.0828 0.5989
Be 0.7500 0.9172 0.4011
N 0.2500 0.1145 0.8571
N 0.2500 0.8249 0.4790
N 0.2500 0.5659 0.8367
N 0.7500 0.8855 0.1429
N 0.7500 0.4341 0.1633
N 0.7500 0.1751 0.5210
Nb 0.7500 0.3417 0.8328
Nb 0.2500 0.6583 0.1672

---

Record 2
Tb2Er5Sc5 after structural relaxation. Source: the Alexandria database, functional PBE.

Values from the calculation:
The energy of formation from the pure elements is 0.99 eV/f.u. As for the energy above the most stable polymorph in this dataset: 32.9 meV/atom. The value obtained for the total energy is -5.228 eV/atom. Its crystal system is monoclinic.

Cell: 5.4102 8.7734 8.4756 Å, 65.56 71.39 72.04°
Fractional positions:
Er 0.8199 0.8608 0.4995
Er 0.0000 0.0000 0.0000
Er 0.2643 0.7022 0.7691
Er 0.1801 0.1392 0.5005
Er 0.7356 0.2978 0.2309
Tb 0.9069 0.4255 0.7606
Tb 0.0931 0.5745 0.2394
Sc 0.4297 0.8755 0.2650
Sc 0.6522 0.7254 0.9701
Sc 0.5703 0.1245 0.7350
Sc 0.5000 0.5000 0.5000
Sc 0.3478 0.2746 0.0299

---

Record 3
Zn3CdAg after structural relaxation. Source: the Alexandria database, functional PBE.

Values from the calculation:
The energy of formation from the pure elements is 0.04 eV/f.u. As for the energy above the most stable polymorph in this dataset: 0.0 meV/atom. The value obtained for the total energy is -1.510 eV/atom. Its crystal system is triclinic.

Cell: 6.7976 5.2367 10.4317 Å, 97.94 28.33 99.09°
Fractional positions:
Ag 0.8700 0.7669 0.1251
Ag 0.1300 0.2331 0.8749
Zn 0.3826 0.9682 0.2251
Zn 0.9238 0.1559 0.3078
Zn 0.0762 0.8442 0.6922
Zn 0.6174 0.0318 0.7749
Zn 0.5058 0.4674 0.1191
Zn 0.4942 0.5326 0.8809
Cd 0.6964 0.6650 0.5047
Cd 0.3036 0.3350 0.4953

---

Record 4
Cr3Fe2N after structural relaxation. Source: the Alexandria database, functional PBE.

Values from the calculation:
The uncorrected formation energy is -177 meV/atom. The value obtained for the total energy is -9.197 eV/atom. Its crystal system is cubic.

Cell: 6.2543 6.2543 6.2543 Å, 90.00 90.00 90.00°
Last column: magnetic moment on the atom in μB.
Fractional positions:
Cr 0.8750 0.7030 0.0470  -0.13
Cr 0.0470 0.8750 0.7030  -0.13
Cr 0.7970 0.9530 0.3750  -0.13
Cr 0.5470 0.6250 0.2970  -0.13
Cr 0.3750 0.7970 0.9530  -0.13
Cr 0.1250 0.2030 0.4530  -0.13
Cr 0.4530 0.1250 0.2030  -0.13
Cr 0.9530 0.3750 0.7970  -0.13
Cr 0.2030 0.4530 0.1250  -0.13
Cr 0.6250 0.2970 0.5470  -0.13
Cr 0.7030 0.0470 0.8750  -0.13
Cr 0.2970 0.5470 0.6250  -0.13
Fe 0.9315 0.5685 0.4315  1.25
Fe 0.8185 0.3185 0.1815  1.25
Fe 0.6815 0.6815 0.6815  1.25
Fe 0.3185 0.1815 0.8185  1.25
Fe 0.1815 0.8185 0.3185  1.25
Fe 0.5685 0.4315 0.9315  1.25
Fe 0.0685 0.0685 0.0685  1.25
Fe 0.4315 0.9315 0.5685  1.25
N 0.3750 0.3750 0.3750  0.02
N 0.6250 0.8750 0.1250  0.02
N 0.8750 0.1250 0.6250  0.02
N 0.1250 0.6250 0.8750  0.02

---

Record 5
YSe2F after structural relaxation. Source: the Alexandria database, functional PBE.

Values from the calculation:
The uncorrected formation energy is -1435 meV/atom. As for the energy above the most stable polymorph in this dataset: 0.0 meV/atom. The value obtained for the total energy is -5.261 eV/atom. Its crystal system is tetragonal.

Cell: 3.9214 3.9214 10.7883 Å, 79.53 79.53 90.00°
Fractional positions:
F 0.2500 0.7500 0.5000
F 0.5000 0.5000 0.0000
Se 0.8750 0.8761 0.7500
Se 0.1239 0.6250 0.2500
Se 0.3750 0.3739 0.7500
Se 0.6261 0.1250 0.2500
Y 0.0000 0.0000 0.0000
Y 0.7500 0.2500 0.5000

---

Record 6
NaIrRu after structural relaxation. Source: the Alexandria database, functional PBE.

Values from the calculation:
The energy of formation from the pure elements is 3.08 eV/f.u. As for the energy above the most stable polymorph in this dataset: 692.1 meV/atom. The value obtained for the total energy is -5.460 eV/atom. Its crystal system is hexagonal.

Cell: 7.7324 5.3229 4.4698 Å, 90.00 90.00 90.00°
Last column: magnetic moment on the atom in μB.
Fractional positions:
Ir 0.3329 0.2500 0.9998  0.14
Ir 0.8329 0.2500 0.5002  0.14
Ir 0.1671 0.7500 0.4998  0.14
Ir 0.6671 0.7500 0.0002  0.14
Ru 0.0000 0.0000 0.0000  0.67
Ru 0.0000 0.5000 0.0000  0.68
Ru 0.5000 0.5000 0.5000  0.69
Ru 0.5000 0.0000 0.5000  0.67
Na 0.8336 0.7500 0.5002  0.00
Na 0.1664 0.2500 0.4998  0.00
Na 0.3336 0.7500 0.9998  0.00
Na 0.6664 0.2500 0.0002  0.00

---

Record 7
Ti3NbTc3 after structural relaxation. Source: the Alexandria database, functional PBE.

Values from the calculation:
The energy of formation from the pure elements is -1.39 eV/f.u. The value obtained for the total energy is -9.463 eV/atom. Its crystal system is orthorhombic.

Cell: 6.1800 6.1800 6.2163 Å, 90.01 90.01 91.02°
Fractional positions:
Tc 0.7480 0.7480 0.5000
Tc 0.2459 0.7541 0.5000
Tc 0.2486 0.7514 0.0000
Tc 0.2520 0.2520 0.5000
Tc 0.7541 0.2459 0.5000
Tc 0.7514 0.2486 0.0000
Ti 0.9999 0.9999 0.2533
Ti 0.0001 0.0001 0.7467
Ti 0.0000 0.5000 0.7502
Ti 0.5000 0.0000 0.7502
Ti 0.0000 0.5000 0.2498
Ti 0.5000 0.0000 0.2498
Nb 0.5000 0.5000 0.2469
Nb 0.5000 0.5000 0.7531

---

Record 8
H2PdSe after structural relaxation. Source: the Alexandria database, functional PBE.

Values from the calculation:
As for the energy above the most stable polymorph in this dataset: 304.8 meV/atom. The value obtained for the total energy is -3.142 eV/atom. Its crystal system is cubic.

Cell: 3.8951 3.8951 3.8951 Å, 60.00 60.00 60.00°
Fractional positions:
H 0.2500 0.2500 0.2500
H 0.7500 0.7500 0.7500
Pd 0.5000 0.5000 0.5000
Se 0.0000 0.0000 0.0000

---

Repeat the third record exactly.
Zn3CdAg after structural relaxation. Source: the Alexandria database, functional PBE.

Values from the calculation:
The energy of formation from the pure elements is 0.04 eV/f.u. As for the energy above the most stable polymorph in this dataset: 0.0 meV/atom. The value obtained for the total energy is -1.510 eV/atom. Its crystal system is triclinic.

Cell: 6.7976 5.2367 10.4317 Å, 97.94 28.33 99.09°
Fractional positions:
Ag 0.8700 0.7669 0.1251
Ag 0.1300 0.2331 0.8749
Zn 0.3826 0.9682 0.2251
Zn 0.9238 0.1559 0.3078
Zn 0.0762 0.8442 0.6922
Zn 0.6174 0.0318 0.7749
Zn 0.5058 0.4674 0.1191
Zn 0.4942 0.5326 0.8809
Cd 0.6964 0.6650 0.5047
Cd 0.3036 0.3350 0.4953